P) Eu2ErAl after structural relaxation, computed with PBE.

a = 3.724 Å, b = 3.724 Å, c = 8.985 Å
α = 90.00°, β = 90.00°, γ = 90.00°
Each line ends with the local moment (μB).
Sites, in units of the cell vectors:
Eu  0.000  0.000  0.211  6.87
Eu  0.000  0.000  0.789  6.87
Al  0.500  0.500  0.000  -0.02
Er  0.500  0.500  0.500  0.55

Values from the calculation:
SG ... No. 123
M_tot ... 15.19 μB per formula unit

Q) Eu2ErAl after structural relaxation, computed with PBE.

a = 5.087 Å, b = 4.816 Å, c = 4.816 Å
α = 90.00°, β = 90.00°, γ = 90.00°
Each line ends with the local moment (μB).
Sites, in units of the cell vectors:
Eu  0.000  0.000  0.500  6.87
Eu  0.000  0.500  0.000  6.87
Al  0.500  0.000  0.000  -0.04
Er  0.500  0.500  0.500  0.14

Values from the calculation:
SG ... No. 123
M_tot ... 14.29 μB per formula unit

The structure with the least stability is P).

P) ErAl2Fe9 after structural relaxation, computed with PBE.

a = 4.619 Å, b = 8.039 Å, c = 8.039 Å
α = 90.00°, β = 90.00°, γ = 90.00°
Each line ends with the local moment (μB).
Sites, in units of the cell vectors:
Fe  0.231  0.324  0.176  -0.32
Fe  0.500  0.290  0.433  1.44
Fe  0.500  0.933  0.790  1.44
Fe  0.231  0.824  0.324  -0.32
Fe  0.500  0.210  0.933  1.44
Fe  0.231  0.676  0.824  -0.32
Fe  0.500  0.710  0.567  1.44
Fe  0.500  0.067  0.210  1.44
Fe  0.769  0.176  0.676  -0.32
Fe  0.500  0.790  0.067  1.44
Fe  0.769  0.676  0.824  -0.32
Fe  0.769  0.824  0.324  -0.32
Fe  0.500  0.000  0.500  1.40
Fe  0.500  0.567  0.290  1.44
Fe  0.500  0.433  0.710  1.44
Fe  0.231  0.176  0.676  -0.32
Fe  0.769  0.324  0.176  -0.32
Fe  0.500  0.500  0.000  1.40
Al  0.000  0.379  0.879  -0.01
Al  0.000  0.621  0.121  -0.01
Al  0.000  0.879  0.621  -0.01
Al  0.000  0.121  0.379  -0.01
Er  0.000  0.000  0.000  -0.13
Er  0.000  0.500  0.500  -0.13

Values from the calculation:
SG ... No. 127
M_tot ... 5.67 μB per formula unit

Q) ErAl2Fe9 after structural relaxation, computed with PBE.

a = 4.880 Å, b = 4.880 Å, c = 8.209 Å
α = 72.71°, β = 72.71°, γ = 60.00°
Each line ends with the local moment (μB).
Sites, in units of the cell vectors:
Fe  0.591  0.591  0.738  1.97
Fe  0.080  0.591  0.738  1.97
Fe  0.409  0.920  0.262  1.97
Fe  0.409  0.409  0.262  1.97
Fe  0.920  0.409  0.262  1.97
Fe  0.666  0.666  0.003  2.27
Fe  0.334  0.334  0.997  2.27
Fe  0.591  0.080  0.738  1.97
Fe  0.500  0.500  0.500  1.53
Er  0.000  0.000  0.000  -0.34
Al  0.143  0.143  0.571  -0.06
Al  0.857  0.857  0.429  -0.06

Values from the calculation:
SG ... No. 166
M_tot ... 17.16 μB per formula unit

The structure with the least stability is Q).

P) ErAl4Ga after structural relaxation, computed with PBE.

a = 4.175 Å, b = 4.214 Å, c = 6.602 Å
α = 90.00°, β = 108.43°, γ = 90.00°
Sites, in units of the cell vectors:
Ga  0.500  0.500  0.000
Al  0.323  0.000  0.647
Al  0.174  0.500  0.348
Al  0.826  0.500  0.652
Al  0.677  0.000  0.353
Er  0.000  0.000  0.000

Values from the calculation:
SG ... No. 65
M_tot ... 0.00 μB per formula unit

Q) ErAl4Ga after structural relaxation, computed with PBE.

a = 4.583 Å, b = 5.626 Å, c = 10.300 Å
α = 71.60°, β = 90.00°, γ = 114.03°
Sites, in units of the cell vectors:
Al  0.463  0.426  0.705
Al  0.706  0.912  0.462
Al  0.794  0.088  0.038
Al  0.294  0.088  0.538
Al  0.963  0.426  0.205
Al  0.537  0.574  0.295
Al  0.206  0.912  0.962
Al  0.037  0.574  0.795
Ga  0.000  0.500  0.500
Ga  0.500  0.500  0.000
Er  0.250  0.000  0.250
Er  0.750  0.000  0.750

Values from the calculation:
SG ... No. 12
M_tot ... 0.00 μB per formula unit

The structure with the least stability is Q).

P) ErAlGa6 after structural relaxation, computed with PBE.

a = 3.939 Å, b = 6.171 Å, c = 6.171 Å
α = 90.01°, β = 90.00°, γ = 90.00°
Sites, in units of the cell vectors:
Er  0.500  0.000  0.000
Al  0.500  0.500  0.500
Ga  0.000  0.733  0.733
Ga  0.000  0.733  0.267
Ga  0.000  0.267  0.733
Ga  0.500  0.000  0.500
Ga  0.000  0.267  0.267
Ga  0.500  0.500  0.000

Values from the calculation:
SG ... No. 123
M_tot ... 0.00 μB per formula unit

Q) ErAlGa6 after structural relaxation, computed with PBE.

a = 5.622 Å, b = 5.622 Å, c = 7.803 Å
α = 55.08°, β = 55.08°, γ = 75.38°
Sites, in units of the cell vectors:
Ga  0.773  0.773  0.902
Ga  0.453  0.837  0.719
Ga  0.163  0.547  0.281
Ga  0.547  0.163  0.281
Ga  0.837  0.453  0.719
Ga  0.227  0.227  0.098
Al  0.000  0.000  0.000
Er  0.500  0.500  0.500

Values from the calculation:
SG ... No. 12
M_tot ... 0.00 μB per formula unit

The structure with the least stability is Q).

P) NdErAlGa after structural relaxation, computed with PBE.

a = 5.146 Å, b = 5.146 Å, c = 5.146 Å
α = 60.00°, β = 60.00°, γ = 60.00°
Sites, in units of the cell vectors:
Er  0.000  0.000  0.000
Al  0.750  0.750  0.750
Ga  0.250  0.250  0.250
Nd  0.500  0.500  0.500

Values from the calculation:
SG ... No. 216
M_tot ... 0.00 μB per formula unit

Q) NdErAlGa after structural relaxation, computed with PBE.

a = 4.447 Å, b = 4.132 Å, c = 6.010 Å
α = 90.00°, β = 111.71°, γ = 90.00°
Sites, in units of the cell vectors:
Nd  0.141  0.000  0.282
Al  0.427  0.000  0.854
Ga  0.572  0.500  0.144
Er  0.860  0.500  0.720

Values from the calculation:
SG ... No. 38
M_tot ... 0.00 μB per formula unit

The structure with the least stability is P).

P) ErAlZnGa after structural relaxation, computed with PBE.

a = 4.737 Å, b = 4.737 Å, c = 4.737 Å
α = 60.00°, β = 60.00°, γ = 60.00°
Sites, in units of the cell vectors:
Er  0.250  0.250  0.250
Zn  0.000  0.000  0.000
Al  0.750  0.750  0.750
Ga  0.500  0.500  0.500

Values from the calculation:
SG ... No. 216
M_tot ... 0.00 μB per formula unit

Q) ErAlZnGa after structural relaxation, computed with PBE.

a = 3.321 Å, b = 5.129 Å, c = 5.016 Å
α = 90.00°, β = 90.00°, γ = 90.00°
Sites, in units of the cell vectors:
Zn  0.000  0.000  0.500
Ga  0.000  0.500  0.000
Al  0.000  0.000  0.000
Er  0.500  0.500  0.500

Values from the calculation:
SG ... No. 47
M_tot ... 0.00 μB per formula unit

The structure with the least stability is Q).